(1)
Li2TiZn4 | the Alexandria database | PBE | optimized geometry; total magnetic moment = 0.0 μB per formula unit; DFT formation energy = -0.160 eV per atom
1.0
3.737 -2.162 0.000
3.737 2.162 0.000
-2.488 0.000 6.455
Li Ti Zn
2 1 4
Cartesian
0.001 0.000 2.803 Li
4.985 0.000 3.652 Li
0.000 0.000 0.000 Ti
0.003 0.000 5.340 Zn
2.489 0.000 1.615 Zn
2.498 0.000 4.840 Zn
4.983 0.000 1.114 Zn

(2)
CeSm3Cd4 | the Alexandria database | PBE | optimized geometry; total magnetic moment = 2.7 μB per formula unit; DFT formation energy = -0.266 eV per atom
1.0
3.802 0.000 0.000
0.000 3.802 0.000
0.000 0.000 15.405
Ce Sm Cd
1 3 4
Cartesian
0.000 0.000 0.000 Ce
0.000 0.000 3.886 Sm
0.000 0.000 7.702 Sm
0.000 0.000 11.518 Sm
1.901 1.901 1.995 Cd
1.901 1.901 5.791 Cd
1.901 1.901 9.614 Cd
1.901 1.901 13.410 Cd

(3)
Tb4SbC2 | the Alexandria database | PBE | optimized geometry; total magnetic moment = 0.3 μB per formula unit; formation energy from raw total energies = -509 meV per atom
1.0
1.930 -6.201 0.000
1.930 6.201 0.000
0.000 0.000 12.820
Tb Sb C
8 2 4
Cartesian
0.000 0.000 0.000 Tb
0.000 0.000 6.410 Tb
1.930 2.948 7.730 Tb
1.930 2.948 11.500 Tb
1.930 1.006 3.205 Tb
1.930 -1.006 9.615 Tb
1.930 -2.948 1.320 Tb
1.930 -2.948 5.090 Tb
1.930 4.850 3.205 Sb
1.930 -4.850 9.615 Sb
1.930 1.696 0.747 C
1.930 1.696 5.663 C
1.930 -1.696 7.157 C
1.930 -1.696 12.073 C

(4)
SiIr2Pb | the Alexandria database | PBE | optimized geometry; total magnetic moment = 0.0 μB per formula unit; formation energy from raw total energies = -13 meV per atom; offset from the most stable computed form = 107 meV per atom
1.0
1.495 0.863 8.840
-1.495 0.863 8.840
0.000 -1.727 8.840
Si Ir Pb
1 2 1
Cartesian
0.000 0.000 0.000 Si
0.000 0.000 7.100 Ir
0.000 0.000 19.420 Ir
0.000 0.000 13.260 Pb

(5)
LiPmGe2Ir | the Alexandria database | PBE | optimized geometry; total magnetic moment = 0.0 μB per formula unit; DFT formation energy = -0.678 eV per atom
1.0
-2.088 2.088 5.271
2.088 -2.088 5.271
2.088 2.088 -5.271
Li Pm Ge Ir
1 1 2 1
Cartesian
0.000 0.000 0.000 Li
2.088 0.000 2.636 Pm
0.000 2.088 1.351 Ge
0.000 2.088 3.920 Ge
0.000 0.000 5.271 Ir

(6)
TaBiTe2 | the Alexandria database | PBE | optimized geometry; total magnetic moment = 0.5 μB per formula unit; formation energy from raw total energies = 526 meV per atom
1.0
-3.613 3.613 5.657
3.613 -3.613 5.657
3.613 3.613 -5.657
Ta Bi Te
2 2 4
Cartesian
0.000 0.000 0.000 Ta
0.000 3.613 2.829 Ta
3.613 0.000 2.829 Bi
0.000 0.000 5.657 Bi
5.419 1.387 -1.414 Te
1.387 1.806 1.414 Te
-1.806 2.226 4.243 Te
2.226 1.806 7.071 Te